Here is crystalline Re4NiPt at its relaxed geometry from the Alexandria database. Energies are from PBE-GGA.

As for the density of states at the Fermi level: 5.59 states/eV/f.u. Its energy of formation from the pure elements is 569 meV per atom. The value obtained for the magnetization is 0.0 μB per formula unit.

It has space group F-43m (No. 216), with a = 7.253 Å, b = 7.253 Å, c = 7.253 Å, α = 90.00°, β = 90.00° and γ = 90.00°. The inequivalent atoms are Re at (0.125, 0.125, 0.125), Ni at (0.000, 0.000, 0.500) and Pt at (0.250, 0.250, 0.750).

Here is crystalline YC at its relaxed geometry from the Alexandria database. Energies are from PBE-GGA.

As for the density of states at the Fermi level: 1.12 states/eV/f.u. Its energy of formation from the pure elements is 507 meV per atom. The value obtained for the magnetization is 0.0 μB per formula unit. The calculation puts the relative energy among the computed polymorphs at 0.7216 eV per atom.

It has space group P6_3/mmc (No. 194), with a = 3.4032 Å, b = 3.4032 Å, c = 13.2721 Å, α = 90.00°, β = 90.00° and γ = 120.00°. The inequivalent atoms are Y at (0.3333, 0.6667, 0.1244), C at (0.0000, 0.0000, 0.2500) and C at (0.3333, 0.6667, 0.7500).

Here is crystalline YNpSnO6 at its relaxed geometry from the Alexandria database. Energies are from PBE-GGA.

As for the density of states at the Fermi level: 5.96 states/eV/f.u. Its final energy is -8.419 eV per atom. The value obtained for the magnetization is 2.0 μB per formula unit.

It has space group P-31c (No. 163), with a = 5.6548 Å, b = 5.6548 Å, c = 9.0557 Å, α = 90.00°, β = 90.00° and γ = 120.00°. The inequivalent atoms are Y at (0.3333, 0.6667, 0.2500), Np at (0.3333, 0.6667, 0.7500), Sn at (0.0000, 0.0000, 0.0000) and O at (0.0206, 0.3339, 0.6266).

Here is crystalline CsNpPtSe4 at its relaxed geometry from the Alexandria database. Energies are from PBE-GGA.

As for the density of states at the Fermi level: 10.70 states/eV/f.u. Its final energy is -5.588 eV per atom. The value obtained for the magnetization is 2.5 μB per formula unit.

It has space group P2_1/m (No. 11), with a = 6.769 Å, b = 6.325 Å, c = 9.916 Å, α = 90.00°, β = 105.53° and γ = 90.00°. The inequivalent atoms are Cs at (0.233, 0.250, 0.041), Np at (0.243, 0.250, 0.543), Pt at (0.242, 0.750, 0.381), Se at (0.030, 0.514, 0.696), Se at (0.456, 0.750, 0.209) and Se at (0.470, 0.750, 0.613).

Here is crystalline Ca3Nd4TmSe8 at its relaxed geometry from the Alexandria database. Energies are from PBE-GGA.

As for the density of states at the Fermi level: 7.82 states/eV/f.u. Its final energy is -5.455 eV per atom. The value obtained for the magnetization is 0.0 μB per formula unit.

It has space group R-3m (No. 166, hexagonal axes), with a = 8.3102 Å, b = 8.3102 Å, c = 20.8637 Å, α = 90.00°, β = 90.00° and γ = 120.00°. The inequivalent atoms are Ca at (0.0000, 0.5000, 0.0000), Nd at (0.0000, 0.0000, 0.5000), Nd at (0.0000, 0.5000, 0.5000), Tm at (0.0000, 0.0000, 0.0000), Se at (0.0000, 0.0000, 0.2525) and Se at (0.0051, 0.5025, 0.7457).

Here is crystalline Co2ReTc at its relaxed geometry from the Alexandria database. Energies are from PBE-GGA.

As for the density of states at the Fermi level: 4.96 states/eV/f.u. Its energy of formation from the pure elements is 57 meV per atom. The value obtained for the magnetization is 0.0 μB per formula unit. The calculation puts the relative energy among the computed polymorphs at 0.1181 eV per atom.

It has space group P4/mmm (No. 123), with a = 3.669 Å, b = 3.669 Å, c = 3.734 Å, α = 90.00°, β = 90.00° and γ = 90.00°. The inequivalent atoms are Co at (0.000, 0.500, 0.000), Re at (0.000, 0.000, 0.500) and Tc at (0.500, 0.500, 0.500).